The following is a DFT calculation (SCAN) of a PBEsol-optimized structure of PAuBr2.

```
4
Lattice="3.189 0.000 0.082 0.000 3.839 0.000 -0.269 0.000 7.382" Properties=species:S:1:pos:R:3 pbc="T T T"
Au 0.000 1.919 0.000
Br 3.106 0.000 1.995
Br -0.185 0.000 5.469
P -0.135 1.919 3.691
```

formation energy without anion corrections = 192 kJ/mol of formula units
total moment = 0.000 μB per formula unit